# CoSb3Mo

A relaxed CoSb3Mo crystal (PBE, Alexandria).

Cell: 4.906 4.906 4.906 Å, 90.00 90.00 90.00°
Space group Pm-3m (No. 221)
Symmetry-distinct sites (fractional):
Co 0.000 0.000 0.000 x1
Sb 0.000 0.000 0.500 x3
Mo 0.500 0.500 0.500 x1

Values from the calculation:
* magnetization: 2.7 μB/f.u.
* total energy: -5.205 eV/atom
* energy relative to the lowest polymorph listed for this composition: 0.000 eV per atom
* E_form (uncorrected): 19.7 kcal/mol of atoms
* calculated density: 7.32 Mg/m³
* D(E_F): 0.542 states/eV per atom
* crystal system: cubic